Computed, not measured: a relaxed Zr2Ti5Sb3H2 crystal at the PBE level of DFT.

As for the uncorrected energy: -6.8904 eV/atom.

It has space group I4/mmm (No. 139), with a = 4.059 Å, b = 4.059 Å, c = 23.894 Å, α = 90.00°, β = 90.00° and γ = 90.00°. The inequivalent atoms are Zr at (0.000, 0.000, 0.202), Ti at (0.000, 0.000, 0.000), Ti at (0.000, 0.500, 0.089), Sb at (0.000, 0.000, 0.326), Sb at (0.000, 0.000, 0.500) and H at (0.000, 0.000, 0.083).



Computed, not measured: a relaxed LaHCl3 crystal at the PBE level of DFT.

As for the uncorrected energy: -3.7790 eV/atom.

It has space group Pm-3m (No. 221), with a = 4.533 Å, b = 4.533 Å, c = 4.533 Å, α = 90.00°, β = 90.00° and γ = 90.00°. The inequivalent atoms are La at (0.000, 0.000, 0.000), H at (0.500, 0.500, 0.500) and Cl at (0.000, 0.500, 0.500).



Computed, not measured: a relaxed HoZnAu4 crystal at the PBE level of DFT.

For the formation energy, the calculation gives -7.958 kcal/mol of atoms. As for the uncorrected energy: -3.5053 eV/atom.

It has space group F-43m (No. 216), with a = 7.830 Å, b = 7.830 Å, c = 7.830 Å, α = 90.00°, β = 90.00° and γ = 90.00°. The inequivalent atoms are Ho at (0.000, 0.000, 0.000), Zn at (0.250, 0.250, 0.250) and Au at (0.125, 0.125, 0.625).